# 1
! PBE HfSiAu, optimized geometry; values from VASP
&SYSTEM
  ibrav = 0, nat = 12, ntyp = 3
/
ATOMIC_SPECIES
Hf 178.49 Hf.upf
Si 28.09 Si.upf
Au 196.97 Au.upf
ATOMIC_POSITIONS crystal
Hf 0.000 0.000 0.000
Hf 0.000 0.500 0.101
Hf 0.500 0.000 0.601
Hf 0.500 0.500 0.500
Si 0.000 0.283 0.700
Si 0.000 0.717 0.700
Si 0.500 0.217 0.200
Si 0.500 0.783 0.200
Au 0.000 0.204 0.380
Au 0.000 0.796 0.380
Au 0.500 0.296 0.880
Au 0.500 0.704 0.880
CELL_PARAMETERS angstrom
4.086 0.000 0.000
0.000 6.774 0.000
0.000 0.000 7.561
! **Density of states at the Fermi level**: 1.5 states/eV/f.u.
! **Size of the total moment**: 0.000 μB per atom
! **Formation energy (no corrections)**: -510 meV per atom

***

# 2
! PBE HfSi2Au, optimized geometry; values from VASP
&SYSTEM
  ibrav = 0, nat = 4, ntyp = 3
/
ATOMIC_SPECIES
Hf 178.49 Hf.upf
Si 28.09 Si.upf
Au 196.97 Au.upf
ATOMIC_POSITIONS crystal
Hf 0.000 0.000 0.000
Si 0.000 0.500 0.500
Si 0.500 0.000 0.500
Au 0.500 0.500 0.000
CELL_PARAMETERS angstrom
4.223 0.000 0.000
0.000 4.223 0.000
0.000 0.000 3.724
! **Density of states at the Fermi level**: 1.9 states/eV/f.u.
! **Size of the total moment**: 0.000 μB per atom
! **Formation energy (no corrections)**: -263 meV per atom

***

# 3
! PBE HfSiAu, optimized geometry; values from VASP
&SYSTEM
  ibrav = 0, nat = 12, ntyp = 3
/
ATOMIC_SPECIES
Hf 178.49 Hf.upf
Si 28.09 Si.upf
Au 196.97 Au.upf
ATOMIC_POSITIONS crystal
Hf 0.000 0.095 0.250
Hf 0.000 0.905 0.750
Hf 0.500 0.405 0.750
Hf 0.500 0.595 0.250
Si 0.000 0.454 0.250
Si 0.000 0.546 0.750
Si 0.500 0.046 0.750
Si 0.500 0.954 0.250
Au 0.000 0.289 0.250
Au 0.000 0.711 0.750
Au 0.500 0.211 0.750
Au 0.500 0.789 0.250
CELL_PARAMETERS angstrom
3.651 0.000 0.000
0.000 15.189 0.000
0.000 0.000 3.769
! **Density of states at the Fermi level**: 1.4 states/eV/f.u.
! **Size of the total moment**: 0.000 μB per atom
! **Formation energy (no corrections)**: -519 meV per atom

***

# 4
! PBE HfSiAu, optimized geometry; values from VASP
&SYSTEM
  ibrav = 0, nat = 6, ntyp = 3
/
ATOMIC_SPECIES
Hf 178.49 Hf.upf
Si 28.09 Si.upf
Au 196.97 Au.upf
ATOMIC_POSITIONS crystal
Hf 0.000 0.000 0.000
Hf 0.500 0.500 0.500
Si 0.000 0.000 0.659
Si 0.500 0.500 0.159
Au 0.000 0.000 0.313
Au 0.500 0.500 0.813
CELL_PARAMETERS angstrom
3.104 0.000 0.000
0.000 3.104 0.000
0.000 0.000 10.972
! **Density of states at the Fermi level**: 1.5 states/eV/f.u.
! **Size of the total moment**: 0.000 μB per atom
! **Formation energy (no corrections)**: -241 meV per atom

***

# 5
! PBE HfSiAu, optimized geometry; values from VASP
&SYSTEM
  ibrav = 0, nat = 12, ntyp = 3
/
ATOMIC_SPECIES
Hf 178.49 Hf.upf
Si 28.09 Si.upf
Au 196.97 Au.upf
ATOMIC_POSITIONS crystal
Hf 0.068 0.932 0.500
Hf 0.547 0.704 0.572
Hf 0.704 0.547 0.072
Hf 0.932 0.068 0.000
Si 0.047 0.443 0.371
Si 0.443 0.047 0.871
Si 0.647 0.962 0.271
Si 0.962 0.647 0.771
Au 0.235 0.723 0.142
Au 0.258 0.388 0.765
Au 0.388 0.258 0.265
Au 0.723 0.235 0.642
CELL_PARAMETERS angstrom
3.878 -4.520 0.000
3.878 4.520 0.000
-1.883 0.000 6.173
! **Density of states at the Fermi level**: 1.3 states/eV/f.u.
! **Size of the total moment**: 0.000 μB per atom
! **Formation energy (no corrections)**: -363 meV per atom

***

# 6
! PBE HfSi2Au, optimized geometry; values from VASP
&SYSTEM
  ibrav = 0, nat = 16, ntyp = 3
/
ATOMIC_SPECIES
Hf 178.49 Hf.upf
Si 28.09 Si.upf
Au 196.97 Au.upf
ATOMIC_POSITIONS crystal
Hf 0.000 0.000 0.000
Hf 0.000 0.500 0.250
Hf 0.500 0.000 0.750
Hf 0.500 0.500 0.500
Si 0.198 0.250 0.625
Si 0.250 0.698 0.875
Si 0.250 0.802 0.375
Si 0.302 0.250 0.125
Si 0.698 0.750 0.125
Si 0.750 0.198 0.375
Si 0.750 0.302 0.875
Si 0.802 0.750 0.625
Au 0.000 0.000 0.500
Au 0.000 0.500 0.750
Au 0.500 0.000 0.250
Au 0.500 0.500 0.000
CELL_PARAMETERS angstrom
4.137 0.000 0.000
0.000 4.137 0.000
0.000 0.000 17.673
! **Density of states at the Fermi level**: 2.8 states/eV/f.u.
! **Size of the total moment**: 0.000 μB per atom
! **Formation energy (no corrections)**: -10 meV per atom

***

# 7
! PBE HfSi2Au2, optimized geometry; values from VASP
&SYSTEM
  ibrav = 0, nat = 10, ntyp = 3
/
ATOMIC_SPECIES
Hf 178.49 Hf.upf
Si 28.09 Si.upf
Au 196.97 Au.upf
ATOMIC_POSITIONS crystal
Hf 0.000 0.000 0.000
Hf 0.500 0.500 0.500
Si 0.000 0.500 0.250
Si 0.000 0.500 0.750
Si 0.500 0.000 0.250
Si 0.500 0.000 0.750
Au 0.000 0.000 0.387
Au 0.000 0.000 0.613
Au 0.500 0.500 0.113
Au 0.500 0.500 0.887
CELL_PARAMETERS angstrom
3.931 0.000 0.000
0.000 3.931 0.000
0.000 0.000 11.698
! **Density of states at the Fermi level**: 0.9 states/eV/f.u.
! **Size of the total moment**: 0.000 μB per atom
! **Formation energy (no corrections)**: 27 meV per atom

***

# 8
! PBE HfSiAu2, optimized geometry; values from VASP
&SYSTEM
  ibrav = 0, nat = 16, ntyp = 3
/
ATOMIC_SPECIES
Hf 178.49 Hf.upf
Si 28.09 Si.upf
Au 196.97 Au.upf
ATOMIC_POSITIONS crystal
Hf 0.000 0.000 0.000
Hf 0.000 0.500 0.500
Hf 0.500 0.000 0.500
Hf 0.500 0.500 0.000
Si 0.000 0.000 0.500
Si 0.000 0.500 0.000
Si 0.500 0.000 0.000
Si 0.500 0.500 0.500
Au 0.250 0.250 0.250
Au 0.250 0.250 0.750
Au 0.250 0.750 0.250
Au 0.250 0.750 0.750
Au 0.750 0.250 0.250
Au 0.750 0.250 0.750
Au 0.750 0.750 0.250
Au 0.750 0.750 0.750
CELL_PARAMETERS angstrom
6.631 0.000 0.000
0.000 6.631 0.000
0.000 0.000 6.631
! **Density of states at the Fermi level**: 0.1 states/eV/f.u.
! **Size of the total moment**: 0.000 μB per atom
! **Formation energy (no corrections)**: -159 meV per atom

***

# 9
! PBE HfSiAu, optimized geometry; values from VASP
&SYSTEM
  ibrav = 0, nat = 12, ntyp = 3
/
ATOMIC_SPECIES
Hf 178.49 Hf.upf
Si 28.09 Si.upf
Au 196.97 Au.upf
ATOMIC_POSITIONS crystal
Hf 0.074 0.000 0.332
Hf 0.426 0.500 0.668
Hf 0.574 0.500 0.332
Hf 0.926 0.000 0.668
Si 0.143 0.500 0.671
Si 0.357 0.000 0.329
Si 0.643 0.000 0.671
Si 0.857 0.500 0.329
Au 0.169 0.500 0.083
Au 0.331 0.000 0.917
Au 0.669 0.000 0.083
Au 0.831 0.500 0.917
CELL_PARAMETERS angstrom
9.810 0.000 0.000
0.000 3.938 0.000
-3.924 0.000 5.376
! **Density of states at the Fermi level**: 1.2 states/eV/f.u.
! **Size of the total moment**: 0.000 μB per atom
! **Formation energy (no corrections)**: -572 meV per atom

***

# 10
! PBE HfSiAu3, optimized geometry; values from VASP
&SYSTEM
  ibrav = 0, nat = 5, ntyp = 3
/
ATOMIC_SPECIES
Hf 178.49 Hf.upf
Si 28.09 Si.upf
Au 196.97 Au.upf
ATOMIC_POSITIONS crystal
Hf 0.000 0.000 0.000
Si 0.500 0.500 0.500
Au 0.000 0.000 0.500
Au 0.000 0.500 0.000
Au 0.500 0.000 0.000
CELL_PARAMETERS angstrom
5.173 0.000 0.000
0.000 5.173 0.000
0.000 0.000 5.173
! **Density of states at the Fermi level**: 6.7 states/eV/f.u.
! **Size of the total moment**: 0.000 μB per atom
! **Formation energy (no corrections)**: 991 meV per atom

***

# 11
! PBE Hf3Si4Au4, optimized geometry; values from VASP
&SYSTEM
  ibrav = 0, nat = 11, ntyp = 3
/
ATOMIC_SPECIES
Hf 178.49 Hf.upf
Si 28.09 Si.upf
Au 196.97 Au.upf
ATOMIC_POSITIONS crystal
Hf 0.000 0.000 0.000
Hf 0.140 0.641 0.281
Hf 0.860 0.359 0.719
Si 0.316 0.816 0.635
Si 0.455 0.455 0.912
Si 0.545 0.545 0.088
Si 0.684 0.184 0.365
Au 0.266 0.266 0.532
Au 0.409 0.908 0.817
Au 0.591 0.092 0.183
Au 0.734 0.734 0.468
CELL_PARAMETERS angstrom
3.686 0.000 0.000
-0.003 4.068 0.000
-1.829 -1.993 13.045
! **Density of states at the Fermi level**: 4.7 states/eV/f.u.
! **Size of the total moment**: 0.000 μB per atom
! **Formation energy (no corrections)**: -321 meV per atom

***

# 12
! PBE Hf2Si3Au, optimized geometry; values from VASP
&SYSTEM
  ibrav = 0, nat = 12, ntyp = 3
/
ATOMIC_SPECIES
Hf 178.49 Hf.upf
Si 28.09 Si.upf
Au 196.97 Au.upf
ATOMIC_POSITIONS crystal
Hf 0.230 0.770 0.000
Hf 0.251 0.749 0.500
Hf 0.749 0.251 0.500
Hf 0.770 0.230 0.000
Si 0.162 0.162 0.323
Si 0.162 0.162 0.831
Si 0.332 0.332 0.169
Si 0.668 0.668 0.831
Si 0.838 0.838 0.169
Si 0.838 0.838 0.677
Au 0.335 0.335 0.671
Au 0.665 0.665 0.329
CELL_PARAMETERS angstrom
4.201 -3.633 0.000
4.201 3.633 0.000
-4.199 0.000 6.769
! **Density of states at the Fermi level**: 2.1 states/eV/f.u.
! **Size of the total moment**: 0.000 μB per atom
! **Formation energy (no corrections)**: -351 meV per atom

***

# 13
! PBE Hf2SiAu, optimized geometry; values from VASP
&SYSTEM
  ibrav = 0, nat = 16, ntyp = 3
/
ATOMIC_SPECIES
Hf 178.49 Hf.upf
Si 28.09 Si.upf
Au 196.97 Au.upf
ATOMIC_POSITIONS crystal
Hf 0.242 0.250 0.125
Hf 0.250 0.742 0.375
Hf 0.250 0.758 0.875
Hf 0.258 0.250 0.625
Hf 0.742 0.750 0.625
Hf 0.750 0.242 0.875
Hf 0.750 0.258 0.375
Hf 0.758 0.750 0.125
Si 0.000 0.000 0.000
Si 0.000 0.500 0.250
Si 0.500 0.000 0.750
Si 0.500 0.500 0.500
Au 0.000 0.000 0.500
Au 0.000 0.500 0.750
Au 0.500 0.000 0.250
Au 0.500 0.500 0.000
CELL_PARAMETERS angstrom
7.376 0.000 0.000
0.000 7.376 0.000
0.000 0.000 5.931
! **Density of states at the Fermi level**: 3.4 states/eV/f.u.
! **Size of the total moment**: 0.000 μB per atom
! **Formation energy (no corrections)**: -152 meV per atom

***

# 14
! PBE Hf2SiAu, optimized geometry; values from VASP
&SYSTEM
  ibrav = 0, nat = 16, ntyp = 3
/
ATOMIC_SPECIES
Hf 178.49 Hf.upf
Si 28.09 Si.upf
Au 196.97 Au.upf
ATOMIC_POSITIONS crystal
Hf 0.250 0.250 0.250
Hf 0.250 0.250 0.750
Hf 0.250 0.750 0.250
Hf 0.250 0.750 0.750
Hf 0.750 0.250 0.250
Hf 0.750 0.250 0.750
Hf 0.750 0.750 0.250
Hf 0.750 0.750 0.750
Si 0.000 0.000 0.000
Si 0.000 0.500 0.500
Si 0.500 0.000 0.500
Si 0.500 0.500 0.000
Au 0.000 0.000 0.500
Au 0.000 0.500 0.000
Au 0.500 0.000 0.000
Au 0.500 0.500 0.500
CELL_PARAMETERS angstrom
6.687 0.000 0.000
0.000 6.687 0.000
0.000 0.000 6.687
! **Density of states at the Fermi level**: 4.3 states/eV/f.u.
! **Size of the total moment**: 0.000 μB per atom
! **Formation energy (no corrections)**: -350 meV per atom

***

# 15
! PBE HfSiAu2, optimized geometry; values from VASP
&SYSTEM
  ibrav = 0, nat = 16, ntyp = 3
/
ATOMIC_SPECIES
Hf 178.49 Hf.upf
Si 28.09 Si.upf
Au 196.97 Au.upf
ATOMIC_POSITIONS crystal
Hf 0.000 0.000 0.000
Hf 0.000 0.500 0.250
Hf 0.500 0.000 0.750
Hf 0.500 0.500 0.500
Si 0.000 0.000 0.500
Si 0.000 0.500 0.750
Si 0.500 0.000 0.250
Si 0.500 0.500 0.000
Au 0.245 0.250 0.625
Au 0.250 0.745 0.875
Au 0.250 0.755 0.375
Au 0.255 0.250 0.125
Au 0.745 0.750 0.125
Au 0.750 0.245 0.375
Au 0.750 0.255 0.875
Au 0.755 0.750 0.625
CELL_PARAMETERS angstrom
3.880 0.000 0.000
0.000 3.880 0.000
0.000 0.000 20.310
! **Density of states at the Fermi level**: 2.6 states/eV/f.u.
! **Size of the total moment**: 0.000 μB per atom
! **Formation energy (no corrections)**: -166 meV per atom

***

# 16
! PBE HfSi2Au, optimized geometry; values from VASP
&SYSTEM
  ibrav = 0, nat = 16, ntyp = 3
/
ATOMIC_SPECIES
Hf 178.49 Hf.upf
Si 28.09 Si.upf
Au 196.97 Au.upf
ATOMIC_POSITIONS crystal
Hf 0.000 0.000 0.000
Hf 0.000 0.500 0.500
Hf 0.500 0.000 0.500
Hf 0.500 0.500 0.000
Si 0.250 0.250 0.250
Si 0.250 0.250 0.750
Si 0.250 0.750 0.250
Si 0.250 0.750 0.750
Si 0.750 0.250 0.250
Si 0.750 0.250 0.750
Si 0.750 0.750 0.250
Si 0.750 0.750 0.750
Au 0.000 0.000 0.500
Au 0.000 0.500 0.000
Au 0.500 0.000 0.000
Au 0.500 0.500 0.500
CELL_PARAMETERS angstrom
6.500 0.000 0.000
0.000 6.500 0.000
0.000 0.000 6.500
! **Density of states at the Fermi level**: 11.1 states/eV/f.u.
! **Size of the total moment**: 0.000 μB per atom
! **Formation energy (no corrections)**: 88 meV per atom

***

# 17
! PBE HfSiAu2, optimized geometry; values from VASP
&SYSTEM
  ibrav = 0, nat = 8, ntyp = 3
/
ATOMIC_SPECIES
Hf 178.49 Hf.upf
Si 28.09 Si.upf
Au 196.97 Au.upf
ATOMIC_POSITIONS crystal
Hf 0.065 0.250 0.129
Hf 0.935 0.750 0.871
Si 0.219 0.750 0.436
Si 0.781 0.250 0.564
Au 0.363 0.048 0.729
Au 0.363 0.452 0.729
Au 0.637 0.548 0.271
Au 0.637 0.952 0.271
CELL_PARAMETERS angstrom
4.020 0.000 0.000
0.000 7.226 0.000
-2.002 0.000 4.883
! **Density of states at the Fermi level**: 1.2 states/eV/f.u.
! **Size of the total moment**: 0.000 μB per atom
! **Formation energy (no corrections)**: -341 meV per atom

***

# 18
! PBE HfSi2Au2, optimized geometry; values from VASP
&SYSTEM
  ibrav = 0, nat = 10, ntyp = 3
/
ATOMIC_SPECIES
Hf 178.49 Hf.upf
Si 28.09 Si.upf
Au 196.97 Au.upf
ATOMIC_POSITIONS crystal
Hf 0.000 0.000 0.000
Hf 0.500 0.500 0.000
Si 0.149 0.351 0.000
Si 0.351 0.851 0.000
Si 0.649 0.149 0.000
Si 0.851 0.649 0.000
Au 0.151 0.651 0.500
Au 0.349 0.151 0.500
Au 0.651 0.849 0.500
Au 0.849 0.349 0.500
CELL_PARAMETERS angstrom
7.295 0.000 0.000
0.000 7.295 0.000
0.000 0.000 3.257
! **Density of states at the Fermi level**: 1.6 states/eV/f.u.
! **Size of the total moment**: 0.000 μB per atom
! **Formation energy (no corrections)**: -79 meV per atom

***

# 19
! PBE HfSiAu, optimized geometry; values from VASP
&SYSTEM
  ibrav = 0, nat = 12, ntyp = 3
/
ATOMIC_SPECIES
Hf 178.49 Hf.upf
Si 28.09 Si.upf
Au 196.97 Au.upf
ATOMIC_POSITIONS crystal
Hf 0.000 0.000 0.177
Hf 0.000 0.000 0.823
Hf 0.500 0.500 0.323
Hf 0.500 0.500 0.677
Si 0.000 0.000 0.363
Si 0.000 0.000 0.637
Si 0.500 0.500 0.137
Si 0.500 0.500 0.863
Au 0.000 0.500 0.016
Au 0.000 0.500 0.484
Au 0.500 0.000 0.516
Au 0.500 0.000 0.984
CELL_PARAMETERS angstrom
3.888 0.000 0.000
0.000 3.888 0.000
0.000 0.000 14.147
! **Density of states at the Fermi level**: 0.9 states/eV/f.u.
! **Size of the total moment**: 0.000 μB per atom
! **Formation energy (no corrections)**: -491 meV per atom

***

# 20
! PBE HfSiAu, optimized geometry; values from VASP
&SYSTEM
  ibrav = 0, nat = 6, ntyp = 3
/
ATOMIC_SPECIES
Hf 178.49 Hf.upf
Si 28.09 Si.upf
Au 196.97 Au.upf
ATOMIC_POSITIONS crystal
Hf 0.250 0.250 0.137
Hf 0.750 0.750 0.863
Si 0.250 0.250 0.770
Si 0.750 0.750 0.230
Au 0.250 0.750 0.459
Au 0.750 0.250 0.541
CELL_PARAMETERS angstrom
3.840 0.000 0.000
0.000 3.883 0.000
0.000 0.000 7.208
! **Density of states at the Fermi level**: 1.1 states/eV/f.u.
! **Size of the total moment**: 0.000 μB per atom
! **Formation energy (no corrections)**: -464 meV per atom